1.
{"formula": "CsPa2Te4", "functional": "PBE", "state": "optimized geometry", "magnetic_moment_mub_per_atom": 0.341, "raw_formation_energy_mev_per_atom": -850.7, "energy_ev_per_cell": -76.73, "relative_energy_mev_per_atom": 52, "cell": [[2.2501, -7.5181, 0.0000], [2.2501, 7.5181, 0.0000], [0.0000, 0.0000, 15.7066]], "species": ["Cs", "Cs", "Pa", "Pa", "Pa", "Pa", "Te", "Te", "Te", "Te", "Te", "Te", "Te", "Te"], "frac_coords": [[0.1025, 0.8975, 0.7500], [0.8975, 0.1025, 0.2500], [0.3684, 0.6315, 0.5607], [0.3684, 0.6315, 0.9393], [0.6315, 0.3684, 0.0607], [0.6315, 0.3684, 0.4393], [0.0000, 0.0000, 0.0000], [0.0000, 0.0000, 0.5000], [0.2639, 0.7361, 0.1083], [0.2639, 0.7361, 0.3917], [0.4056, 0.5944, 0.7500], [0.5944, 0.4056, 0.2500], [0.7361, 0.2639, 0.6083], [0.7361, 0.2639, 0.8917]]}

=====

2.
{"formula": "Cs2PaTe6", "functional": "PBE", "state": "optimized geometry", "magnetic_moment_mub_per_atom": 0.000, "raw_formation_energy_mev_per_atom": -688.4, "energy_ev_per_cell": -36.25, "cell": [[8.3110, -4.7965, 0.0000], [8.3110, 4.7965, 0.0000], [-0.4176, 0.0000, 5.2352]], "species": ["Cs", "Cs", "Pa", "Te", "Te", "Te", "Te", "Te", "Te"], "frac_coords": [[0.1840, 0.1840, 0.4201], [0.8160, 0.8160, 0.5799], [0.5000, 0.5000, 0.0000], [0.1638, 0.5597, 0.1025], [0.3047, 0.6953, 0.5000], [0.4403, 0.8362, 0.8975], [0.5597, 0.1638, 0.1025], [0.6953, 0.3047, 0.5000], [0.8362, 0.4403, 0.8975]]}